No. 1
A relaxed Cu2Pd8Pt crystal. Source: Alexandria via LeMat-Bulk, functional PBE.

Computed properties:
ΔE_f = -0.05 eV per atom

a b c (Å): 7.3224 7.3224 6.1694
angles (deg): 104.70 104.70 30.90
With the nearest neighbours (Å) after each atom.
Sites, in units of the cell vectors:
Cu 0.1374 0.1374 0.1823  10 Pd 2.72-2.76, 2 Pt 2.77
Cu 0.8626 0.8626 0.8177  10 Pd 2.72-2.76, 2 Pt 2.77
Pd 0.0447 0.0447 0.7354  2 Pt 2.72, 2 Cu 2.72-2.75, 8 Pd 2.76-2.85
Pd 0.2282 0.2282 0.6344  9 Pd 2.73-2.82, 3 Cu 2.75
Pd 0.3180 0.3180 0.0883  3 Cu 2.75-2.76, 8 Pd 2.75-2.81, 1 Pt 2.76
Pd 0.4091 0.4091 0.5513  1 Pt 2.73, 9 Pd 2.73-2.82, 2 Cu 2.74
Pd 0.5909 0.5909 0.4487  1 Pt 2.73, 9 Pd 2.73-2.82, 2 Cu 2.74
Pd 0.6820 0.6820 0.9117  3 Cu 2.75-2.76, 8 Pd 2.75-2.81, 1 Pt 2.76
Pd 0.7718 0.7718 0.3656  9 Pd 2.73-2.82, 3 Cu 2.75
Pd 0.9553 0.9553 0.2646  2 Pt 2.72, 2 Cu 2.72-2.75, 8 Pd 2.76-2.85
Pt 0.5000 0.5000 0.0000  8 Pd 2.72-2.76, 4 Cu 2.77



No. 2
A relaxed MoC5 crystal. Source: Alexandria via LeMat-Bulk, functional PBE.

Computed properties:
ΔE_f = 1.14 eV per atom

a b c (Å): 2.6636 2.8128 13.6831
angles (deg): 90.00 90.00 90.00
With the nearest neighbours (Å) after each atom.
Sites, in units of the cell vectors:
Mo 0.0000 0.0000 0.0000  6 C 2.02-2.22
Mo 0.0000 0.5000 0.5000  6 C 2.02-2.22
C 0.0000 0.0000 0.3744  2 C 1.54
C 0.0000 0.0000 0.6916  2 C 1.51
C 0.0000 0.5000 0.1916  2 C 1.51
C 0.0000 0.5000 0.8744  2 C 1.54
C 0.5000 0.0000 0.3185  2 C 1.54
C 0.5000 0.0000 0.5421  4 Mo 2.02
C 0.5000 0.0000 0.7429  2 C 1.51
C 0.5000 0.5000 0.0421  4 Mo 2.02
C 0.5000 0.5000 0.2429  2 C 1.51
C 0.5000 0.5000 0.8185  2 C 1.54



No. 3
A relaxed TbTl2TeO6 crystal. Source: Alexandria via LeMat-Bulk, functional PBE.

Computed properties:
Final energy = -5.73 eV/atom

a b c (Å): 5.9560 8.4259 5.9542
angles (deg): 90.00 90.00 90.00
With the nearest neighbours (Å) after each atom.
Sites, in units of the cell vectors:
Tb 0.2500 0.2500 0.2495  6 O 2.26
Tb 0.7500 0.7500 0.7505  6 O 2.26
Tl 0.2500 0.9998 0.7496  12 O 2.98-2.99
Tl 0.2500 0.5002 0.7496  12 O 2.98-2.99
Tl 0.7500 0.0002 0.2504  12 O 2.98-2.99
Tl 0.7500 0.4998 0.2504  12 O 2.98-2.99
Te 0.2500 0.7500 0.2505  6 O 1.95
Te 0.7500 0.2500 0.7495  6 O 1.95
O 0.0183 0.7500 0.0189  1 Te 1.95
O 0.0185 0.7500 0.4823  1 Te 1.95
O 0.2500 0.5182 0.2505  1 Te 1.95
O 0.2500 0.9818 0.2505  1 Te 1.95
O 0.4817 0.7500 0.0189  1 Te 1.95
O 0.4815 0.7500 0.4823  1 Te 1.95
O 0.5185 0.2500 0.5177  1 Te 1.95
O 0.5183 0.2500 0.9811  1 Te 1.95
O 0.7500 0.0182 0.7495  1 Te 1.95
O 0.7500 0.4818 0.7495  1 Te 1.95
O 0.9815 0.2500 0.5177  1 Te 1.95
O 0.9817 0.2500 0.9811  1 Te 1.95



No. 4
A relaxed SrCd2P2Pt7 crystal. Source: Alexandria via LeMat-Bulk, functional PBE.

Computed properties:
ΔE_f = -0.42 eV per atom

a b c (Å): 4.0273 4.0273 14.0761
angles (deg): 95.47 95.47 89.89
With the nearest neighbours (Å) after each atom.
Sites, in units of the cell vectors:
Sr 0.0000 0.0000 0.0000  12 Pt 2.85-3.09
Cd 0.0960 0.0960 0.4030  5 Pt 2.85-2.88, 1 Cd 3.08
Cd 0.9040 0.9040 0.5970  5 Pt 2.85-2.88, 1 Cd 3.08
P 0.4192 0.4192 0.7444  5 Pt 2.26-2.36
P 0.5808 0.5808 0.2556  5 Pt 2.26-2.36
Pt 0.0527 0.5545 0.1681  2 P 2.35-2.36
Pt 0.4013 0.4013 0.5833  1 P 2.26
Pt 0.4455 0.9473 0.8319  2 P 2.35-2.36
Pt 0.5000 0.5000 0.0000  4 Sr 2.85, 8 Pt 3.08-3.10
Pt 0.5545 0.0527 0.1681  2 P 2.35-2.36
Pt 0.5987 0.5987 0.4167  1 P 2.26
Pt 0.9473 0.4455 0.8319  2 P 2.35-2.36



No. 5
A relaxed SrHg2Br6 crystal. Source: Alexandria via LeMat-Bulk, functional PBE.

Computed properties:
Final energy = -2.34 eV/atom

a b c (Å): 7.5381 7.5381 11.8833
angles (deg): 113.17 113.17 34.28
With the nearest neighbours (Å) after each atom.
Sites, in units of the cell vectors:
Sr 0.0000 0.0000 0.0000  6 Br 3.07-3.08
Hg 0.1631 0.1631 0.7174  4 Br 2.60-2.82
Hg 0.8369 0.8369 0.2826  4 Br 2.60-2.82
Br 0.0104 0.0104 0.2642  1 Hg 2.60
Br 0.3034 0.3034 0.3895  2 Hg 2.70
Br 0.3398 0.3398 0.9406  1 Hg 2.82, 2 Sr 3.07
Br 0.6602 0.6602 0.0594  1 Hg 2.82, 2 Sr 3.07
Br 0.6966 0.6966 0.6105  2 Hg 2.70
Br 0.9896 0.9896 0.7358  1 Hg 2.60



No. 6
A relaxed AcHg2Au crystal. Source: Alexandria via LeMat-Bulk, functional PBE.

Computed properties:
ΔE_f = -0.51 eV per atom

a b c (Å): 4.7217 8.1998 5.9523
angles (deg): 90.00 113.22 90.00
With the nearest neighbours (Å) after each atom.
Sites, in units of the cell vectors:
Ac 0.0802 0.2500 0.1578  3 Au 3.24-3.25, 6 Hg 3.48-3.54
Ac 0.9198 0.7500 0.8422  3 Au 3.24-3.25, 6 Hg 3.48-3.54
Hg 0.3675 0.0544 0.7344  3 Au 2.99-3.00, 2 Hg 3.04-3.21
Hg 0.3675 0.4456 0.7344  3 Au 2.99-3.00, 2 Hg 3.04-3.21
Hg 0.6325 0.5544 0.2656  3 Au 2.99-3.00, 2 Hg 3.04-3.21
Hg 0.6325 0.9456 0.2656  3 Au 2.99-3.00, 2 Hg 3.04-3.21
Au 0.2167 0.7500 0.4346  6 Hg 2.99-3.00, 3 Ac 3.24-3.25
Au 0.7833 0.2500 0.5654  6 Hg 2.99-3.00, 3 Ac 3.24-3.25



No. 7
A relaxed SrCd2Sb2 crystal. Source: Alexandria via LeMat-Bulk, functional PBE.

Computed properties:
Final energy = -2.80 eV/atom

a b c (Å): 4.7203 4.6392 14.3823
angles (deg): 90.00 90.00 90.00
With the nearest neighbours (Å) after each atom.
Sites, in units of the cell vectors:
Sr 0.0000 0.0000 0.0000  6 Sb 3.40-3.46, 2 Cd 3.74
Sr 0.0000 0.5000 0.5000  6 Sb 3.40-3.46, 2 Cd 3.74
Cd 0.0000 0.0000 0.7042  4 Sb 2.92-3.06
Cd 0.0000 0.5000 0.2042  4 Sb 2.92-3.06
Cd 0.5000 0.0000 0.2118  4 Sb 2.89-3.10
Cd 0.5000 0.5000 0.7118  4 Sb 2.89-3.10
Sb 0.0000 0.0000 0.3272  4 Cd 2.89-2.92
Sb 0.0000 0.5000 0.8272  4 Cd 2.89-2.92
Sb 0.5000 0.0000 0.5692  4 Cd 3.06-3.10
Sb 0.5000 0.5000 0.0692  4 Cd 3.06-3.10



No. 8
A relaxed DyTmPtPb crystal. Source: Alexandria via LeMat-Bulk, functional PBE.

Computed properties:
ΔE_f = -0.74 eV per atom

a b c (Å): 7.2949 7.2949 7.2949
angles (deg): 90.00 90.00 90.00
With the nearest neighbours (Å) after each atom.
Sites, in units of the cell vectors:
Dy 0.0000 0.0000 0.0000  4 Pb 3.16, 4 Pt 3.16
Dy 0.0000 0.5000 0.5000  4 Pb 3.16, 4 Pt 3.16
Dy 0.5000 0.0000 0.5000  4 Pb 3.16, 4 Pt 3.16
Dy 0.5000 0.5000 0.0000  4 Pb 3.16, 4 Pt 3.16
Tm 0.0000 0.0000 0.5000  4 Pt 3.16, 4 Pb 3.16
Tm 0.0000 0.5000 0.0000  4 Pb 3.16, 4 Pt 3.16
Tm 0.5000 0.0000 0.0000  4 Pb 3.16, 4 Pt 3.16
Tm 0.5000 0.5000 0.5000  4 Pt 3.16, 4 Pb 3.16
Pt 0.2500 0.2500 0.7500  4 Dy 3.16, 4 Tm 3.16
Pt 0.2500 0.7500 0.2500  4 Dy 3.16, 4 Tm 3.16
Pt 0.7500 0.2500 0.2500  4 Dy 3.16, 4 Tm 3.16
Pt 0.7500 0.7500 0.7500  4 Dy 3.16, 4 Tm 3.16
Pb 0.2500 0.2500 0.2500  4 Dy 3.16, 4 Tm 3.16
Pb 0.2500 0.7500 0.7500  4 Tm 3.16, 4 Dy 3.16
Pb 0.7500 0.2500 0.7500  4 Tm 3.16, 4 Dy 3.16
Pb 0.7500 0.7500 0.2500  4 Tm 3.16, 4 Dy 3.16



No. 9
A relaxed YP2IrO crystal. Source: Alexandria via LeMat-Bulk, functional PBE.

Computed properties:
Final energy = -6.68 eV/atom

a b c (Å): 4.8930 4.8930 3.7482
angles (deg): 90.00 90.00 90.00
With the nearest neighbours (Å) after each atom.
Sites, in units of the cell vectors:
Y 0.0000 0.0000 0.0000  8 P 3.08
P 0.0000 0.5000 0.5000  2 Ir 2.45
P 0.5000 0.0000 0.5000  2 Ir 2.45
Ir 0.5000 0.5000 0.5000  2 O 1.87
O 0.5000 0.5000 0.0000  2 Ir 1.87



No. 10
A relaxed KAcHg2S4 crystal. Source: Alexandria via LeMat-Bulk, functional PBE.

Computed properties:
Final energy = -3.73 eV/atom

a b c (Å): 7.2531 7.9019 8.2833
angles (deg): 90.00 90.00 90.00
With the nearest neighbours (Å) after each atom.
Sites, in units of the cell vectors:
K 0.0000 0.0000 0.0000  8 S 3.38-3.49
K 0.5000 0.5000 0.5000  8 S 3.38-3.49
Ac 0.0000 0.0000 0.5000  4 S 2.94
Ac 0.5000 0.5000 0.0000  4 S 2.94
Hg 0.0000 0.5000 0.2038  2 S 2.37
Hg 0.0000 0.5000 0.7962  2 S 2.37
Hg 0.5000 0.0000 0.2962  2 S 2.37
Hg 0.5000 0.0000 0.7038  2 S 2.37
S 0.2494 0.3071 0.7902  1 Hg 2.37
S 0.2494 0.6929 0.2098  1 Hg 2.37
S 0.2506 0.1929 0.2902  1 Hg 2.37
S 0.2506 0.8071 0.7098  1 Hg 2.37
S 0.7494 0.1929 0.7098  1 Hg 2.37
S 0.7494 0.8071 0.2902  1 Hg 2.37
S 0.7506 0.3071 0.2098  1 Hg 2.37
S 0.7506 0.6929 0.7902  1 Hg 2.37



No. 11
A relaxed Tl2InAg2 crystal. Source: Alexandria via LeMat-Bulk, functional PBE.

Computed properties:
ΔE_f = 0.09 eV per atom

a b c (Å): 7.6557 7.6557 4.2740
angles (deg): 90.00 90.00 90.00
With the nearest neighbours (Å) after each atom.
Sites, in units of the cell vectors:
Tl 0.1675 0.3325 0.0000  6 Ag 3.04-3.15
Tl 0.3325 0.8325 0.0000  6 Ag 3.04-3.15
Tl 0.6675 0.1675 0.0000  6 Ag 3.04-3.15
Tl 0.8325 0.6675 0.0000  6 Ag 3.04-3.15
In 0.0000 0.0000 0.5000  4 Ag 2.99
In 0.5000 0.5000 0.5000  4 Ag 2.99
Ag 0.1330 0.6330 0.5000  1 Ag 2.88, 2 In 2.99, 6 Tl 3.04-3.15
Ag 0.3670 0.1330 0.5000  1 Ag 2.88, 2 In 2.99, 6 Tl 3.04-3.15
Ag 0.6330 0.8670 0.5000  1 Ag 2.88, 2 In 2.99, 6 Tl 3.04-3.15
Ag 0.8670 0.3670 0.5000  1 Ag 2.88, 2 In 2.99, 6 Tl 3.04-3.15